# 1
11
Lattice="3.605 0.000 0.000 0.000 8.127 -0.376 0.000 -0.341 9.641" Properties=species:S:1:pos:R:3 comment="PBE-GGA Dy4Ni2Pb5, relaxed" space_group="No. 10" rho_g_cm3=10.62 formation_enthalpy_0k_mev_per_atom=-415 pbc="T T T"
Pb 0.000 6.687 7.998
Ni 0.000 7.412 3.258
Pb 0.000 3.519 6.211
Dy 1.803 6.483 1.288
Dy 1.803 6.342 5.150
Pb 0.000 4.266 3.055
Dy 1.803 1.443 4.115
Pb 0.000 1.099 1.268
Pb 0.000 4.063 -0.188
Ni 0.000 0.373 6.007
Dy 1.803 1.303 7.977


# 2
10
Lattice="3.893 0.000 -1.120 -0.582 3.912 -2.022 0.204 0.321 8.033" Properties=species:S:1:pos:R:3 comment="PBE-GGA PmCO3, relaxed" space_group="No. 12" rho_g_cm3=5.40 e_form_raw_mev_per_atom=-1614 pbc="T T T"
C 1.807 3.529 -1.044
O -0.354 2.647 -1.230
O 0.902 1.062 3.136
C 1.708 0.704 5.934
O 1.251 3.540 4.348
Pm 3.154 1.649 3.636
Pm 0.361 2.584 1.254
O 2.612 3.171 1.755
O 3.869 1.586 6.120
O 2.264 0.693 0.543


# 3
5
Lattice="-0.566 -0.289 5.129 -2.048 -2.725 -0.380 4.107 -3.125 0.277" Properties=species:S:1:pos:R:3 comment="PBE-GGA KFeHPd2, relaxed" energy_ev_per_cell=-15.70 space_group="No. 123" rho_g_cm3=5.60 pbc="T T T"
Pd -0.283 -0.145 2.565
Fe 0.746 -3.070 2.513
K 0.000 0.000 0.000
H -1.024 -1.363 -0.190
Pd 2.053 -1.563 0.138


# 4
18
Lattice="-2.141 -1.635 7.411 -6.062 -4.963 0.890 1.734 -7.224 2.644" Properties=species:S:1:pos:R:3 comment="PBE-GGA Ac2Al3CuPd12, relaxed" space_group="No. 166" rho_g_cm3=8.33 formation_enthalpy_0k_mev_per_atom=-336 pbc="T T T"
Pd -5.537 -7.650 4.467
Pd -6.523 -8.435 8.228
Al -3.031 -2.482 0.445
Pd -3.871 -4.250 1.835
Pd -3.486 -5.908 7.879
Al 0.867 -3.612 1.322
Pd -1.458 -8.832 5.385
Ac -4.025 -8.599 6.809
Cu 0.000 0.000 0.000
Pd -0.933 -6.173 6.479
Pd -2.985 -7.914 3.067
Ac -2.445 -5.224 4.136
Al -1.071 -0.818 3.705
Pd -4.572 -11.248 5.828
Pd -5.012 -4.990 5.561
Pd -1.898 -2.574 5.117
Pd 0.053 -5.387 2.718
Pd -2.599 -9.573 9.111


# 5
10
Lattice="-3.023 -0.688 1.320 3.765 -0.134 8.552 -1.695 9.147 0.890" Properties=species:S:1:pos:R:3 comment="PBE-GGA LaCe2In2, relaxed" space_group="No. 127" rho_g_cm3=7.32 formation_enthalpy_0k_mev_per_atom=-283 pbc="T T T"
La 1.035 4.507 4.721
Ce 2.095 0.857 5.244
In 1.015 2.389 7.869
Ce -0.288 3.622 1.230
In -1.967 5.936 2.893
Ce -0.024 8.157 4.198
In -0.663 1.346 3.485
In -0.290 6.979 7.277
La 0.000 0.000 0.000
Ce 2.358 5.391 8.212


# 6
18
Lattice="-6.507 -4.050 1.961 2.057 -1.763 -8.916 4.580 -6.249 2.292" Properties=species:S:1:pos:R:3 comment="PBE-GGA Ac2La3Ag4, relaxed" space_group="No. 14" rho_g_cm3=7.67 formation_enthalpy_0k_mev_per_atom=-198 pbc="T T T"
La -1.905 -6.484 -4.519
Ac -0.669 -10.404 -3.509
Ag 0.278 -4.698 -2.796
Ag -2.133 -4.506 -6.972
Ac -1.760 -4.630 0.173
La 3.319 -4.006 -3.312
La -2.225 -2.907 -3.478
Ac 0.799 -1.658 -1.155
Ag -0.147 -7.364 -1.868
La 0.631 -3.480 -5.859
Ag 2.263 -7.555 2.308
Ag -4.085 -5.210 -2.370
La 2.035 -5.577 -0.144
Ag 3.073 -5.144 -6.975
Ac 1.891 -7.431 -4.836
La -0.500 -8.582 1.195
Ag 4.215 -6.851 -2.293
Ag -2.942 -6.917 2.312


# 7
5
Lattice="4.367 0.000 0.000 0.000 4.392 0.000 0.000 0.000 4.367" Properties=species:S:1:pos:R:3 comment="PBE-GGA LiCoNi2As, relaxed" space_group="No. 123" rho_g_cm3=5.12 formation_enthalpy_0k_mev_per_atom=341 pbc="T T T"
Ni 2.183 0.000 0.000
Ni 0.000 0.000 2.183
As 0.000 0.000 0.000
Li 2.183 2.196 2.183
Co 0.000 2.196 0.000


# 8
5
Lattice="-0.508 -3.338 3.024 2.090 -2.870 -2.817 3.990 1.079 1.861" Properties=species:S:1:pos:R:3 comment="PBE-GGA Co3IrC, relaxed" space_group="No. 221" rho_g_cm3=6.79 formation_enthalpy_0k_mev_per_atom=2613 pbc="T T T"
C 2.786 -2.565 1.034
Ir 0.000 0.000 0.000
Co 1.045 -1.435 -1.409
Co -0.254 -1.669 1.512
Co 1.995 0.539 0.930


# 9
29
Lattice="-5.933 -8.316 -0.916 8.481 -1.422 -5.590 2.625 1.229 9.907" Properties=species:S:1:pos:R:3 comment="PBE-GGA Na16Tl12Au, relaxed" space_group="No. 8" rho_g_cm3=5.89 formation_enthalpy_0k_mev_per_atom=-112 pbc="T T T"
Na 2.616 -2.004 5.111
Na -0.648 -7.986 3.586
Tl 4.896 -5.512 1.092
Na -0.254 -6.158 -2.775
Tl 8.284 -2.519 -1.997
Tl 6.651 -4.320 -4.070
Na 3.194 -4.509 -3.893
Na 7.794 -3.948 0.848
Tl -2.201 -8.554 -1.200
Na 4.934 -3.272 -1.270
Na 1.855 -3.497 0.561
Na 4.250 -8.825 0.089
Tl 1.842 -2.044 8.419
Na 4.592 -6.804 -6.143
Na 4.677 -2.362 2.262
Tl -0.889 -5.852 6.177
Tl 3.673 -4.971 3.994
Na -0.735 -5.983 0.568
Na 0.082 -0.104 0.100
Tl -3.301 -8.060 1.760
Au 2.702 -6.242 -0.874
Na 0.459 -4.380 3.630
Tl 7.644 -1.771 3.410
Na 6.929 -0.472 0.267
Na -0.400 -9.192 -4.525
Na -2.992 -5.217 3.484
Tl 2.561 -7.695 -3.454
Tl 2.039 -6.878 2.019
Tl 4.639 -0.706 7.512


# 10
5
Lattice="-2.122 -3.352 -2.568 2.630 1.199 -3.739 3.422 -3.220 1.374" Properties=species:S:1:pos:R:3 comment="PBE-GGA MoPBrCl2, relaxed" space_group="No. 123" rho_g_cm3=4.22 e_form_raw_mev_per_atom=17 pbc="T T T"
Cl 1.315 0.600 -1.870
Cl -1.061 -1.676 -1.284
Mo 0.000 0.000 0.000
Br 1.965 -2.686 -2.466
P 1.711 -1.610 0.687


# 11
20
Lattice="-1.953 -5.200 -1.507 5.317 -2.050 0.183 4.315 -3.921 7.936" Properties=species:S:1:pos:R:3 comment="PBE-GGA La2MgNbO6, relaxed" space_group="No. 14" rho_g_cm3=6.18 e_form_raw_mev_per_atom=-3029 pbc="T T T"
Nb 0.000 0.000 0.000
La 2.240 -1.775 1.951
O 4.904 -7.617 2.491
O 0.449 -2.043 0.022
La 3.647 -5.734 5.339
La 4.033 -5.437 1.272
Mg 4.816 -2.986 4.059
O 1.971 -4.194 1.332
O 5.708 -6.977 5.279
Nb 1.181 -4.561 3.214
O 7.711 -6.297 7.423
La 5.440 -9.396 4.661
Mg 1.682 -3.625 -0.662
O 5.033 -3.747 5.998
O 7.230 -9.128 6.589
O 5.343 -4.897 3.293
O 2.646 -7.424 0.613
O -0.032 -4.874 -0.811
O 2.336 -6.274 3.319
O 2.776 -3.554 4.121


# 12
12
Lattice="-4.421 0.658 0.131 -1.239 -8.672 1.749 3.061 3.625 8.804" Properties=species:S:1:pos:R:3 comment="PBE-GGA Nd6Bi3TeSe2, relaxed" space_group="No. 12" rho_g_cm3=7.79 e_form_raw_mev_per_atom=-1312 pbc="T T T"
Bi -1.844 1.541 6.350
Nd -0.303 -2.151 0.590
Nd 0.029 -1.105 6.559
Nd -2.628 -3.284 4.124
Bi -2.830 -4.007 0.940
Se -2.471 -2.823 7.119
Se -0.128 -1.566 3.565
Nd -2.296 -2.238 10.094
Bi -0.755 -5.930 4.334
Nd -2.043 0.823 3.262
Nd -0.556 -5.212 7.422
Te -2.211 0.329 0.065